DFT (PBE) results for PuRhI2 after structural relaxation.

Cell lengths 3.909, 3.909, 9.647 Å; angles 78.31, 78.31, 60.00 degrees
Each line ends with the local moment (μB).
Fractional coordinates of all 4 atoms:
I: 0.111 0.111 0.667  0.01
I: 0.889 0.889 0.333  0.01
Rh: 0.500 0.500 0.500  0.25
Pu: 0.000 0.000 0.000  5.87

Volume, Å³ per cell: 124
Space group: R-3m, No. 166
Raw total energy, eV per cell: -24.13

DFT (PBE) results for KHf2TiOs after structural relaxation.

Cell lengths 4.786, 4.193, 4.786 Å; angles 90.00, 90.00, 90.00 degrees
Fractional coordinates of all 5 atoms:
Hf: 0.000 0.000 0.500
Hf: 0.500 0.000 0.000
K: 0.000 0.000 0.000
Os: 0.500 0.500 0.500
Ti: 0.000 0.500 0.000

Volume, Å³ per cell: 96
Space group: P4/mmm, No. 123
Raw total energy, eV per cell: -28.93